1.
Density functional theory data (GGA-PBE) for a geometry-optimized Sm2PdI structure.

Computed properties:
- total moment (μB per formula unit) = 0.0
- electronic total energy (eV per formula unit) = -19.615
- ΔE to the lowest computed polymorph (eV per atom) = 0.000
- V (Å³ per atom) = 30.95

The structure in CIF format:
```
data_Sm2PdI
_space_group_name_H-M_alt 'R 3 m'
_space_group_IT_number 160
_space_group_name_Hall 'R 3 -2"'
_cell_length_a 4.2100
_cell_length_b 4.2100
_cell_length_c 24.1967
_cell_angle_alpha 90.00
_cell_angle_beta 90.00
_cell_angle_gamma 120.00
loop_
_atom_site_label
_atom_site_type_symbol
_atom_site_fract_x
_atom_site_fract_y
_atom_site_fract_z
Sm1 Sm 0.0000 0.0000 0.0000
Sm2 Sm 0.0000 0.0000 0.2084
Pd1 Pd 0.0000 0.0000 0.6043
I1 I 0.0000 0.0000 0.4362
```

***

2.
Density functional theory data (GGA-PBE) for a geometry-optimized Sc2MoAu structure.

Computed properties:
- total moment (μB per formula unit) = 0.0
- electronic total energy (eV per formula unit) = -27.663
- formation enthalpy at 0 K (eV per formula unit) = -0.89
- ΔE to the lowest computed polymorph (eV per atom) = 0.023
- V (Å³ per atom) = 18.54

The structure in CIF format:
```
data_Sc2MoAu
_space_group_name_H-M_alt 'F m -3 m'
_space_group_IT_number 225
_space_group_name_Hall '-F 4 2 3'
_cell_length_a 6.670
_cell_length_b 6.670
_cell_length_c 6.670
_cell_angle_alpha 90.00
_cell_angle_beta 90.00
_cell_angle_gamma 90.00
loop_
_atom_site_label
_atom_site_type_symbol
_atom_site_fract_x
_atom_site_fract_y
_atom_site_fract_z
Sc1 Sc 0.250 0.250 0.250
Mo1 Mo 0.000 0.000 0.000
Au1 Au 0.000 0.000 0.500
```

***

3.
Density functional theory data (GGA-PBE) for a geometry-optimized SbPOs structure.

Computed properties:
- total moment (μB per formula unit) = 0.0
- electronic total energy (eV per formula unit) = -19.260
- ΔE to the lowest computed polymorph (eV per atom) = 0.706
- V (Å³ per atom) = 20.55

The structure in CIF format:
```
data_SbPOs
_space_group_name_H-M_alt 'F m m 2'
_space_group_IT_number 42
_space_group_name_Hall 'F 2 -2'
_cell_length_a 3.039
_cell_length_b 5.267
_cell_length_c 15.408
_cell_angle_alpha 90.00
_cell_angle_beta 90.00
_cell_angle_gamma 90.00
loop_
_atom_site_label
_atom_site_type_symbol
_atom_site_fract_x
_atom_site_fract_y
_atom_site_fract_z
Sb1 Sb 0.000 0.000 0.000
P1 P 0.000 0.000 0.730
Os1 Os 0.000 0.000 0.341
```

***

4.
Density functional theory data (GGA-PBE) for a geometry-optimized LiAc3Tb2Te6 structure.

Computed properties:
- total moment (μB per formula unit) = 0.0
- electronic total energy (eV per formula unit) = -59.051
- V (Å³ per atom) = 33.23

The structure in CIF format:
```
data_LiAc3Tb2Te6
_space_group_name_H-M_alt 'C 1 2/m 1'
_space_group_IT_number 12
_space_group_name_Hall '-C 2y'
_cell_length_a 19.815
_cell_length_b 4.549
_cell_length_c 9.081
_cell_angle_alpha 90.00
_cell_angle_beta 103.03
_cell_angle_gamma 90.00
loop_
_atom_site_label
_atom_site_type_symbol
_atom_site_fract_x
_atom_site_fract_y
_atom_site_fract_z
Li1 Li 0.000 0.000 0.000
Ac1 Ac 0.000 0.000 0.500
Ac2 Ac 0.166 0.500 0.834
Tb1 Tb 0.168 0.500 0.340
Te1 Te 0.006 0.500 0.231
Te2 Te 0.159 0.000 0.098
Te3 Te 0.171 0.000 0.573
```